Cs3La2CeTe6: relaxed, GGA-PBE.

Unit cell a=8.2547 b=8.2547 c=9.3306 alpha=98.49 beta=98.49 gamma=119.99
Closest atoms and distances in Å follow each position.
Fractional coordinates of all 12 atoms:
Cs 0.0000 0.0000 0.0000  6 Te 3.86-3.88
Cs 0.3326 0.6674 0.0000  6 Te 3.86-3.88
Cs 0.6674 0.3326 0.0000  6 Te 3.86-3.88
La 0.1666 0.8334 0.5000  6 Te 3.26
La 0.8334 0.1666 0.5000  6 Te 3.26
Ce 0.5000 0.5000 0.5000  6 Te 3.24
Te 0.1041 0.4351 0.3052  1 Ce 3.24, 2 La 3.26
Te 0.2341 0.2341 0.6952  1 Ce 3.24, 2 La 3.26
Te 0.4351 0.1041 0.3052  1 Ce 3.24, 2 La 3.26
Te 0.5649 0.8959 0.6948  1 Ce 3.24, 2 La 3.26
Te 0.7659 0.7659 0.3048  1 Ce 3.24, 2 La 3.26
Te 0.8959 0.5649 0.6948  1 Ce 3.24, 2 La 3.26

size of the total moment	1.0	μB per formula unit
energy relative to the elements, uncorrected	-1.45	eV/atom
total DFT energy (no corrections)	-4.545	eV/atom
space group	C2/m, No. 12